No. 1
Crystalline Dy5YTmTh2 at its relaxed geometry, computed with PBE.

```
Dy5YTmTh2
1.0
-4.360 4.360 7.770
4.360 -4.360 7.770
4.360 4.360 -7.770
Dy Y Tm Th
10 2 2 4
direct
0.000 0.000 0.000 Dy
0.071 0.571 0.922 Dy
0.149 0.071 0.500 Dy
0.351 0.851 0.922 Dy
0.429 0.351 0.500 Dy
0.500 0.500 0.000 Dy
0.571 0.649 0.500 Dy
0.649 0.149 0.078 Dy
0.851 0.929 0.500 Dy
0.929 0.429 0.078 Dy
0.250 0.250 0.000 Y
0.750 0.750 0.000 Y
0.250 0.750 0.500 Tm
0.750 0.250 0.500 Tm
0.120 0.380 0.500 Th
0.380 0.880 0.260 Th
0.620 0.120 0.740 Th
0.880 0.620 0.500 Th
```

## Properties
**ΔE_f**: 0.344 eV per atom
**Final energy**: -0.37316 Ry per atom
**M_tot**: 0.000 μB per atom

No. 2
Crystalline KBa2Bi2 at its relaxed geometry, computed with PBE.

```
KBa2Bi2
1.0
-2.486 2.486 11.539
2.486 -2.486 11.539
2.486 2.486 -11.539
K Ba Bi
1 2 2
direct
0.000 0.000 0.000 K
0.359 0.359 0.000 Ba
0.641 0.641 0.000 Ba
0.250 0.750 0.500 Bi
0.750 0.250 0.500 Bi
```

## Properties
**Polymorph energy (0 for the lowest one)**: 196.4 kJ/mol of formula units
**ΔE_f**: -0.321 eV per atom
**Final energy**: -0.21032 Ry per atom
**M_tot**: 0.000 μB per atom